## w
VASP calculation (GGA-PBE) on a relaxed Th2MgTi crystal.

a b c (Å): 3.6555 3.6555 8.0624
angles (deg): 90.00 90.00 90.00
Element x y z (fractional)
Mg 0.5000 0.5000 0.5000
Th 0.0000 0.0000 0.7675
Th 0.0000 0.0000 0.2325
Ti 0.5000 0.5000 0.0000

Summary:
- magnetization (μB per formula unit) = 0.6
- symmetry = P4/mmm (123)

=====

## x
VASP calculation (GGA-PBE) on a relaxed Th2MgTi crystal.

a b c (Å): 3.2688 3.2688 11.8964
angles (deg): 82.10 82.10 60.00
Element x y z (fractional)
Mg 0.5000 0.5000 0.5000
Th 0.0825 0.0825 0.7525
Th 0.9175 0.9175 0.2475
Ti 0.0000 0.0000 0.0000

Summary:
- magnetization (μB per formula unit) = 0.8
- symmetry = R-3m (166)

=====

w is favored, and the nearest alternative lies 0.265 eV/atom above it.